Entry from Alexandria via LeMat-Bulk: an optimized crystal structure of SmPu3Hg4 (PBE).

The calculation puts the magnetization at 17.71 μB/cell. Its total energy is -6.30 eV per atom.

It has space group P4/mmm (No. 123), with a = 3.639 Å, b = 3.639 Å, c = 16.125 Å, α = 90.00°, β = 90.00° and γ = 90.00°. The inequivalent atoms are Sm at (0.000, 0.000, 0.000), Pu at (0.000, 0.000, 0.249), Pu at (0.000, 0.000, 0.500), Hg at (0.500, 0.500, 0.122) and Hg at (0.500, 0.500, 0.374).